[1]
# CaHgW2

A relaxed CaHgW2 crystal (PBE, Alexandria via LeMat-Bulk).

The structure in POSCAR format:
```
CaHgW2
1.0
3.3442 0.0000 0.0000
0.0000 3.3442 0.0000
0.0000 0.0000 7.5492
Ca Hg W
1 1 2
Cartesian
0.0000 0.0000 0.0000
1.6721 1.6721 2.1673
0.0000 0.0000 4.1498
1.6721 1.6721 5.2881
```

Output
DOS(E_F) = 4.39 states/eV per cell
Formation energy from the elements = 406.7 meV/atom
VASP energy = -26.6 eV per cell


[2]
# LaThPt2

A relaxed LaThPt2 crystal (PBE, Alexandria via LeMat-Bulk).

The structure in POSCAR format:
```
LaThPt2
1.0
2.1055 1.2156 6.9628
-2.1055 1.2156 6.9628
0.0000 -2.4312 6.9628
La Th Pt
1 1 2
Cartesian
0.0000 0.0000 0.0000
0.0000 0.0000 10.4442
0.0000 0.0000 5.1402
0.0000 0.0000 15.7482
```

Output
DOS(E_F) = 1.56 states/eV per cell
Formation energy from the elements = -1209.3 meV/atom
VASP energy = -29.3 eV per cell


[3]
# Pm3Dy3Tm8

A relaxed Pm3Dy3Tm8 crystal (PBE, Alexandria via LeMat-Bulk).

The structure in POSCAR format:
```
Pm3Dy3Tm8
1.0
-2.7949 5.3513 7.4717
2.7949 -5.3513 7.4717
2.7949 5.3513 -7.4717
Pm Dy Tm
3 3 8
Cartesian
0.0000 0.0000 0.0000
2.7949 0.0000 2.7530
0.0000 5.3513 4.7187
2.7949 2.1755 0.0000
0.0000 0.0000 7.4717
0.0000 3.1757 7.4717
2.7949 3.6282 -3.2903
2.7949 -1.6900 5.9343
0.0000 1.7231 4.1814
0.0000 3.6613 1.5374
2.7949 1.6900 5.9343
2.7949 3.6282 3.2903
0.0000 7.0412 1.5374
0.0000 1.7231 10.7620
```

Output
DOS(E_F) = 23.40 states/eV per cell
Formation energy from the elements = 113.0 meV/atom
VASP energy = -62.2 eV per cell